# 1
## LaPm12Al4O3 (PBE-GGA)

Data for a relaxed LaPm12Al4O3 crystal.

Output
volume	25.46	Å³ per atom
theoretical density	6.64	Mg/m³
ΔE_f (raw)	-0.715	eV per atom
electronic total energy	-0.1949	Ha/atom

a = 8.7131 Å, b = 8.7131 Å, c = 8.7131 Å
α = 109.47°, β = 109.47°, γ = 109.47°
Last column: nearest neighbours and their distance in Å.
Element x y z (fractional)
La (0.0000, 0.0000, 0.0000)  6 Pm 2.74
Pm (0.7500, 0.5000, 0.2500)  2 O 2.52
Pm (0.7500, 0.2500, 0.5000)  2 O 2.52
Pm (0.7280, 0.0000, 0.7280)  1 O 2.29
Pm (0.0000, 0.2720, 0.2720)  1 O 2.29
Pm (0.2720, 0.2720, 0.0000)  1 O 2.29
Al (0.0000, 0.5000, 0.0000)  12 Pm 3.56
Pm (0.2500, 0.5000, 0.7500)  2 O 2.52
Al (0.5000, 0.5000, 0.5000)  12 Pm 3.56
Al (0.0000, 0.0000, 0.5000)  12 Pm 3.56
O (0.0000, 0.5000, 0.5000)  6 Pm 2.29-2.52
Pm (0.2500, 0.7500, 0.5000)  2 O 2.52
Pm (0.2720, 0.0000, 0.2720)  1 O 2.29
Al (0.5000, 0.0000, 0.0000)  12 Pm 3.56
O (0.5000, 0.0000, 0.5000)  6 Pm 2.29-2.52
Pm (0.5000, 0.7500, 0.2500)  2 O 2.52
Pm (0.5000, 0.2500, 0.7500)  2 O 2.52
O (0.5000, 0.5000, 0.0000)  6 Pm 2.29-2.52
Pm (0.7280, 0.7280, 0.0000)  1 O 2.29
Pm (0.0000, 0.7280, 0.7280)  1 O 2.29

---

# 2
## La12PmAl4O3 (PBE-GGA)

Data for a relaxed La12PmAl4O3 crystal.

Output
volume	27.50	Å³ per atom
theoretical density	5.94	Mg/m³
ΔE_f (raw)	-0.779	eV per atom
electronic total energy	-0.2008	Ha/atom

a = 8.9401 Å, b = 8.9401 Å, c = 8.9401 Å
α = 109.47°, β = 109.47°, γ = 109.47°
Last column: nearest neighbours and their distance in Å.
Element x y z (fractional)
Al (0.5000, 0.0000, 0.0000)  12 La 3.65-3.66
La (0.7500, 0.2500, 0.5000)  2 O 2.58
La (0.7500, 0.5000, 0.2500)  2 O 2.58
O (0.5000, 0.5000, 0.0000)  6 La 2.37-2.58
Pm (0.0000, 0.0000, 0.0000)  6 La 2.79
O (0.5000, 0.0000, 0.5000)  6 La 2.37-2.58
La (0.5000, 0.2500, 0.7500)  2 O 2.58
Al (0.0000, 0.5000, 0.0000)  12 La 3.65-3.66
Al (0.0000, 0.0000, 0.5000)  12 La 3.65-3.66
La (0.0000, 0.7294, 0.7294)  1 O 2.37
La (0.0000, 0.2706, 0.2706)  1 O 2.37
La (0.2500, 0.7500, 0.5000)  2 O 2.58
La (0.2500, 0.5000, 0.7500)  2 O 2.58
La (0.7294, 0.7294, 0.0000)  1 O 2.37
La (0.7294, 0.0000, 0.7294)  1 O 2.37
La (0.5000, 0.7500, 0.2500)  2 O 2.58
La (0.2706, 0.0000, 0.2706)  1 O 2.37
Al (0.5000, 0.5000, 0.5000)  12 La 3.65-3.66
La (0.2706, 0.2706, 0.0000)  1 O 2.37
O (0.0000, 0.5000, 0.5000)  6 La 2.37-2.58

---

# 3
## La12PrAl4O3 (PBE-GGA)

Data for a relaxed La12PrAl4O3 crystal.

Output
volume	27.78	Å³ per atom
theoretical density	5.87	Mg/m³
ΔE_f (raw)	-0.782	eV per atom
electronic total energy	-0.2010	Ha/atom

a = 8.9696 Å, b = 8.9696 Å, c = 8.9696 Å
α = 109.47°, β = 109.47°, γ = 109.47°
Last column: nearest neighbours and their distance in Å.
Element x y z (fractional)
La (0.0000, 0.7277, 0.7277)  1 O 2.36
La (0.7500, 0.5000, 0.2500)  2 O 2.59
Al (0.0000, 0.5000, 0.0000)  12 La 3.66-3.67
Al (0.5000, 0.5000, 0.5000)  12 La 3.66-3.67
La (0.5000, 0.7500, 0.2500)  2 O 2.59
La (0.2500, 0.5000, 0.7500)  2 O 2.59
La (0.7277, 0.7277, 0.0000)  1 O 2.36
La (0.7277, 0.0000, 0.7277)  1 O 2.36
O (0.5000, 0.0000, 0.5000)  6 La 2.36-2.59
O (0.5000, 0.5000, 0.0000)  6 La 2.36-2.59
Al (0.5000, 0.0000, 0.0000)  12 La 3.66-3.67
La (0.2723, 0.2723, 0.0000)  1 O 2.36
La (0.5000, 0.2500, 0.7500)  2 O 2.59
La (0.7500, 0.2500, 0.5000)  2 O 2.59
La (0.2723, 0.0000, 0.2723)  1 O 2.36
La (0.0000, 0.2723, 0.2723)  1 O 2.36
La (0.2500, 0.7500, 0.5000)  2 O 2.59
Al (0.0000, 0.0000, 0.5000)  12 La 3.66-3.67
O (0.0000, 0.5000, 0.5000)  6 La 2.36-2.59
Pr (0.0000, 0.0000, 0.0000)  6 La 2.82

---

# 4
## La2AlPtO6 (PBE-GGA)

Data for a relaxed La2AlPtO6 crystal.

Output
volume	12.62	Å³ per atom
theoretical density	7.84	Mg/m³
ΔE_f (raw)	-2.411	eV per atom
electronic total energy	-0.2701	Ha/atom

a = 5.4384 Å, b = 5.6840 Å, c = 8.1676 Å
α = 90.00°, β = 90.00°, γ = 90.00°
Last column: nearest neighbours and their distance in Å.
Element x y z (fractional)
O (0.7501, 0.0162, 0.0000)  1 Al 1.96, 1 Pt 2.03
Al (0.0000, 0.7681, 0.0000)  6 O 1.86-1.96
O (0.2412, 0.4450, 0.5000)  1 Al 1.86, 1 Pt 2.03
O (0.7499, 0.9838, 0.5000)  1 Al 1.96, 1 Pt 2.03
O (0.2501, 0.9838, 0.5000)  1 Al 1.96, 1 Pt 2.03
La (0.5000, 0.7783, 0.7685)  7 O 2.44-2.72
La (0.5000, 0.7783, 0.2315)  7 O 2.44-2.72
O (0.0000, 0.7966, 0.2268)  1 Al 1.86
O (0.5000, 0.2034, 0.7268)  1 Al 1.86
La (0.0000, 0.2217, 0.7315)  7 O 2.44-2.72
O (0.0000, 0.7966, 0.7732)  1 Al 1.86
La (0.0000, 0.2217, 0.2685)  7 O 2.44-2.72
O (0.2588, 0.5550, 0.0000)  1 Al 1.86, 1 Pt 2.03
O (0.7588, 0.4450, 0.5000)  1 Al 1.86, 1 Pt 2.03
Al (0.5000, 0.2319, 0.5000)  6 O 1.86-1.96
Pt (0.0000, 0.7180, 0.5000)  4 O 2.03
Pt (0.5000, 0.2820, 0.0000)  4 O 2.03
O (0.2499, 0.0162, 0.0000)  1 Al 1.96, 1 Pt 2.03
O (0.7412, 0.5550, 0.0000)  1 Al 1.86, 1 Pt 2.03
O (0.5000, 0.2034, 0.2732)  1 Al 1.86

---

# 5
## LaAlPtO6 (PBE-GGA)

Data for a relaxed LaAlPtO6 crystal.

Output
volume	13.30	Å³ per atom
theoretical density	6.34	Mg/m³
ΔE_f (raw)	-1.930	eV per atom
electronic total energy	-0.2525	Ha/atom

a = 5.1323 Å, b = 5.1323 Å, c = 5.2469 Å
α = 90.00°, β = 90.00°, γ = 60.00°
Last column: nearest neighbours and their distance in Å.
Element x y z (fractional)
O (0.9905, 0.6390, 0.7022)  1 Al 1.92, 1 Pt 1.98
O (0.6390, 0.9905, 0.2977)  1 Al 1.92, 1 Pt 1.98
O (0.3704, 0.9906, 0.7022)  1 Al 1.92, 1 Pt 1.98
Al (0.6666, 0.6667, 0.5000)  6 O 1.92
La (0.0000, 0.0000, 0.0000)  6 O 2.44
O (0.6390, 0.3705, 0.7023)  1 Al 1.92, 1 Pt 1.98
Pt (0.3333, 0.3333, 0.5000)  6 O 1.98
O (0.3704, 0.6390, 0.2977)  1 Al 1.92, 1 Pt 1.98
O (0.9905, 0.3704, 0.2977)  1 Al 1.92, 1 Pt 1.98

---

# 6
## LaPuAlO6 (PBE-GGA)

Data for a relaxed LaPuAlO6 crystal.

Output
volume	14.06	Å³ per atom
theoretical density	6.64	Mg/m³
ΔE_f (raw)	-2.902	eV per atom
electronic total energy	-0.3220	Ha/atom

a = 5.2424 Å, b = 5.2792 Å, c = 5.2792 Å
α = 120.00°, β = 90.00°, γ = 90.00°
Last column: nearest neighbours and their distance in Å.
Element x y z (fractional)
O (0.2912, 0.9781, 0.6851)  1 Al 1.94, 1 Pu 2.07
Pu (0.5000, 0.6667, 0.3333)  6 O 2.07
O (0.7088, 0.9781, 0.2930)  1 Al 1.94, 1 Pu 2.07
La (0.0000, 0.3333, 0.6667)  6 O 2.46
O (0.2912, 0.3149, 0.2930)  1 Al 1.94, 1 Pu 2.07
O (0.7088, 0.3149, 0.0219)  1 Al 1.94, 1 Pu 2.07
Al (0.5000, 0.0000, 0.0000)  6 O 1.94
O (0.7088, 0.7070, 0.6851)  1 Al 1.94, 1 Pu 2.07
O (0.2912, 0.7070, 0.0219)  1 Al 1.94, 1 Pu 2.07

---

# 7
## Rb2LaAl2O6 (PBE-GGA)

Data for a relaxed Rb2LaAl2O6 crystal.

Output
volume	19.73	Å³ per atom
theoretical density	3.52	Mg/m³
ΔE_f (raw)	-2.306	eV per atom
electronic total energy	-0.2321	Ha/atom

a = 6.2160 Å, b = 6.2160 Å, c = 7.4129 Å
α = 65.21°, β = 65.21°, γ = 60.00°
Last column: nearest neighbours and their distance in Å.
Element x y z (fractional)
La (0.0000, 0.0000, 0.0000)  6 O 2.42
O (0.7471, 0.7471, 0.2348)  1 Al 1.71
O (0.7471, 0.2710, 0.2348)  1 Al 1.71
Rb (0.7984, 0.7984, 0.6049)  9 O 3.05-3.28
O (0.2529, 0.7290, 0.7652)  1 Al 1.71
Al (0.4112, 0.4112, 0.7664)  3 O 1.71
O (0.2710, 0.7471, 0.2348)  1 Al 1.71
Al (0.5888, 0.5888, 0.2336)  3 O 1.71
Rb (0.2016, 0.2016, 0.3951)  9 O 3.05-3.28
O (0.7290, 0.2529, 0.7652)  1 Al 1.71
O (0.2529, 0.2529, 0.7652)  1 Al 1.71

---

# 8
## La2AlRuO (PBE-GGA)

Data for a relaxed La2AlRuO crystal.

Output
volume	23.16	Å³ per atom
theoretical density	6.05	Mg/m³
ΔE_f (raw)	-0.137	eV per atom
electronic total energy	-0.2096	Ha/atom

a = 5.7095 Å, b = 3.5524 Å, c = 5.7095 Å
α = 90.00°, β = 90.00°, γ = 90.00°
Last column: nearest neighbours and their distance in Å.
Element x y z (fractional)
La (0.0000, 0.0000, 0.5000)  2 Al 2.85
Al (0.0000, 0.0000, 0.0000)  2 O 1.78
Ru (0.5000, 0.5000, 0.5000)  8 La 3.36, 2 Ru 3.55
La (0.5000, 0.0000, 0.0000)  2 Al 2.85
O (0.0000, 0.5000, 0.0000)  2 Al 1.78

---

# 9
## La2AlRuO6 (PBE-GGA)

Data for a relaxed La2AlRuO6 crystal.

Output
volume	11.83	Å³ per atom
theoretical density	7.05	Mg/m³
ΔE_f (raw)	-2.625	eV per atom
electronic total energy	-0.2899	Ha/atom

a = 5.5098 Å, b = 5.5104 Å, c = 7.7909 Å
α = 90.00°, β = 90.00°, γ = 90.00°
Last column: nearest neighbours and their distance in Å.
Element x y z (fractional)
La (0.0000, 0.2500, 0.7500)  12 O 2.75-2.76
O (0.7407, 0.0093, 0.5000)  1 Al 1.88, 1 Ru 2.02
Ru (0.0000, 0.7500, 0.5000)  6 O 2.02
O (0.5000, 0.2498, 0.2594)  1 Al 1.87, 1 Ru 2.02
O (0.2593, 0.0093, 0.5000)  1 Al 1.88, 1 Ru 2.02
Al (0.5000, 0.2499, 0.5000)  6 O 1.87-1.88
La (0.5000, 0.7500, 0.7500)  12 O 2.75-2.76
La (0.5000, 0.7500, 0.2500)  12 O 2.75-2.76
Al (0.0000, 0.7501, 0.0000)  6 O 1.87-1.88
O (0.2407, 0.5094, 0.0000)  1 Al 1.88, 1 Ru 2.02
O (0.7593, 0.5094, 0.0000)  1 Al 1.88, 1 Ru 2.02
Ru (0.5000, 0.2500, 0.0000)  6 O 2.02
La (0.0000, 0.2500, 0.2500)  12 O 2.75-2.76
O (0.7593, 0.9907, 0.0000)  1 Al 1.88, 1 Ru 2.02
O (0.0000, 0.7502, 0.2406)  1 Al 1.87, 1 Ru 2.02
O (0.0000, 0.7502, 0.7594)  1 Al 1.87, 1 Ru 2.02
O (0.2407, 0.9907, 0.0000)  1 Al 1.88, 1 Ru 2.02
O (0.2593, 0.4906, 0.5000)  1 Al 1.88, 1 Ru 2.02
O (0.7407, 0.4906, 0.5000)  1 Al 1.88, 1 Ru 2.02
O (0.5000, 0.2498, 0.7406)  1 Al 1.87, 1 Ru 2.02